No. 1
{
  "formula": "TaAgW2",
  "functional": "PBE-GGA",
  "state": "relaxed",
  "space_group": "No. 44",
  "delta_e_f_ev_per_fu": 1.72,
  "n_ef_per_ev_cell": 2.90,
  "dft_energy_ev_per_atom": -9.723,
  "e_above_lowest_polymorph_mev_per_atom": 209,
  "cell": [[-1.7191, 2.2647, 4.3671], [1.7191, -2.2647, 4.3671], [1.7191, 2.2647, -4.3671]],
  "species": ["Ta", "Ag", "W", "W"],
  "fractional_positions": [[0.0000, 0.0000, 0.0000], [0.7371, 0.2371, 0.5000], [0.2473, 0.7473, 0.5000], [0.4768, 0.4768, 0.0000]]
}

No. 2
{
  "formula": "Li2PuBr2O2",
  "functional": "PBE-GGA",
  "state": "relaxed",
  "space_group": "No. 12",
  "n_ef_per_ev_cell": 3.57,
  "formation_energy_uncorrected_ev_per_atom": -1.9932,
  "dft_energy_ev_per_atom": -6.482,
  "cell": [[6.2152, -2.0124, 0.0000], [6.2152, 2.0124, 0.0000], [-3.1361, 0.0000, 6.3680]],
  "species": ["Li", "Li", "Pu", "Br", "Br", "O", "O"],
  "fractional_positions": [[0.2321, 0.2321, 0.1197], [0.7679, 0.7679, 0.8803], [0.5000, 0.5000, 0.0000], [0.0915, 0.0915, 0.3322], [0.9085, 0.9085, 0.6678], [0.3377, 0.3377, 0.9840], [0.6623, 0.6623, 0.0160]]
}

No. 3
{
  "formula": "CrTc",
  "functional": "PBE-GGA",
  "state": "relaxed",
  "space_group": "No. 136",
  "delta_e_f_ev_per_fu": 1.72,
  "n_ef_per_ev_cell": 8.50,
  "dft_energy_ev_per_atom": -9.135,
  "cell": [[4.9765, 0.0000, 0.0000], [0.0000, 4.9765, 0.0000], [0.0000, 0.0000, 4.7221]],
  "species": ["Cr", "Cr", "Cr", "Cr", "Tc", "Tc", "Tc", "Tc"],
  "fractional_positions": [[0.1989, 0.1989, 0.0000], [0.3011, 0.6989, 0.5000], [0.6989, 0.3011, 0.5000], [0.8011, 0.8011, 0.0000], [0.2031, 0.2031, 0.5000], [0.2969, 0.7031, 0.0000], [0.7031, 0.2969, 0.0000], [0.7969, 0.7969, 0.5000]]
}

No. 4
{
  "formula": "AcPuSn",
  "functional": "PBE-GGA",
  "state": "relaxed",
  "space_group": "No. 51",
  "delta_e_f_ev_per_fu": 0.29,
  "n_ef_per_ev_cell": 24.16,
  "dft_energy_ev_per_atom": -7.386,
  "e_above_lowest_polymorph_mev_per_atom": 530,
  "cell": [[6.6303, 0.0000, 0.0000], [0.0000, 3.4280, 0.0000], [0.0000, 0.0000, 8.8720]],
  "species": ["Ac", "Ac", "Pu", "Pu", "Sn", "Sn"],
  "fractional_positions": [[0.0000, 0.0000, 0.0000], [0.5000, 0.0000, 0.0000], [0.2500, 0.5000, 0.3501], [0.7500, 0.5000, 0.6499], [0.2500, 0.0000, 0.6626], [0.7500, 0.0000, 0.3374]]
}

No. 5
{
  "formula": "Ho3ThHg6",
  "functional": "PBE-GGA",
  "state": "relaxed",
  "space_group": "No. 11",
  "delta_e_f_ev_per_fu": -3.63,
  "n_ef_per_ev_cell": 14.16,
  "dft_energy_ev_per_atom": -2.659,
  "cell": [[9.2274, 0.0000, 0.0000], [0.0000, 5.1688, 0.0000], [-3.3364, 0.0000, 10.6966]],
  "species": ["Ho", "Ho", "Ho", "Ho", "Ho", "Ho", "Th", "Th", "Hg", "Hg", "Hg", "Hg", "Hg", "Hg", "Hg", "Hg", "Hg", "Hg", "Hg", "Hg"],
  "fractional_positions": [[0.0128, 0.2500, 0.3883], [0.1500, 0.7500, 0.1946], [0.2670, 0.2500, 0.9954], [0.7330, 0.7500, 0.0046], [0.8500, 0.2500, 0.8054], [0.9872, 0.7500, 0.6117], [0.4312, 0.2500, 0.6161], [0.5688, 0.7500, 0.3839], [0.0332, 0.7500, 0.9054], [0.1375, 0.2500, 0.7092], [0.2450, 0.7500, 0.4797], [0.3303, 0.2500, 0.3073], [0.3543, 0.7500, 0.7944], [0.4374, 0.7500, 0.0885], [0.5626, 0.2500, 0.9115], [0.6457, 0.2500, 0.2056], [0.6697, 0.7500, 0.6927], [0.7550, 0.2500, 0.5203], [0.8625, 0.7500, 0.2908], [0.9668, 0.2500, 0.0946]]
}

No. 6
{
  "formula": "Pr6HgRh2Br3",
  "functional": "PBE-GGA",
  "state": "relaxed",
  "space_group": "No. 12",
  "n_ef_per_ev_cell": 8.45,
  "formation_energy_uncorrected_ev_per_atom": -0.9566,
  "dft_energy_ev_per_atom": -5.015,
  "cell": [[3.6858, -6.3932, 0.0000], [3.6858, 6.3932, 0.0000], [-2.4533, 0.0000, 7.8307]],
  "species": ["Pr", "Pr", "Pr", "Pr", "Pr", "Pr", "Hg", "Rh", "Rh", "Br", "Br", "Br"],
  "fractional_positions": [[0.0713, 0.4318, 0.7953], [0.2073, 0.2073, 0.2044], [0.4318, 0.0713, 0.7953], [0.5682, 0.9287, 0.2047], [0.7927, 0.7927, 0.7956], [0.9287, 0.5682, 0.2047], [0.5000, 0.5000, 0.0000], [0.1667, 0.8333, 0.0000], [0.8333, 0.1667, 0.0000], [0.0000, 0.0000, 0.5000], [0.3341, 0.6659, 0.5000], [0.6659, 0.3341, 0.5000]]
}

No. 7
{
  "formula": "Fe3BTe",
  "functional": "PBE-GGA",
  "state": "relaxed",
  "space_group": "No. 221",
  "n_ef_per_ev_cell": 5.21,
  "formation_energy_uncorrected_ev_per_atom": 0.2743,
  "dft_energy_ev_per_atom": -6.767,
  "e_above_lowest_polymorph_mev_per_atom": 0,
  "cell": [[3.8853, 0.0000, 0.0000], [0.0000, 3.8853, 0.0000], [0.0000, 0.0000, 3.8853]],
  "species": ["Fe", "Fe", "Fe", "B", "Te"],
  "fractional_positions": [[0.0000, 0.0000, 0.5000], [0.0000, 0.5000, 0.0000], [0.5000, 0.0000, 0.0000], [0.0000, 0.0000, 0.0000], [0.5000, 0.5000, 0.5000]]
}

No. 8
{
  "formula": "Zr2TaRe2",
  "functional": "PBE-GGA",
  "state": "relaxed",
  "space_group": "No. 127",
  "delta_e_f_ev_per_fu": 0.25,
  "n_ef_per_ev_cell": 14.19,
  "dft_energy_ev_per_atom": -10.719,
  "cell": [[6.7157, 0.0000, 0.0000], [0.0000, 6.7157, 0.0000], [0.0000, 0.0000, 4.4103]],
  "species": ["Zr", "Zr", "Zr", "Zr", "Ta", "Ta", "Re", "Re", "Re", "Re"],
  "fractional_positions": [[0.1802, 0.3198, 0.0000], [0.3198, 0.8198, 0.0000], [0.6802, 0.1802, 0.0000], [0.8198, 0.6802, 0.0000], [0.0000, 0.0000, 0.5000], [0.5000, 0.5000, 0.5000], [0.1304, 0.6304, 0.5000], [0.3696, 0.1304, 0.5000], [0.6304, 0.8696, 0.5000], [0.8696, 0.3696, 0.5000]]
}

No. 9
{
  "formula": "KMnNi",
  "functional": "PBE-GGA",
  "state": "relaxed",
  "space_group": "No. 187",
  "delta_e_f_ev_per_fu": 3.45,
  "n_ef_per_ev_cell": 6.42,
  "dft_energy_ev_per_atom": -4.200,
  "e_above_lowest_polymorph_mev_per_atom": 787,
  "cell": [[4.6980, 0.0000, 0.0000], [-2.3490, 4.0686, 0.0000], [0.0000, 0.0000, 7.4977]],
  "species": ["K", "K", "Mn", "Mn", "Ni", "Ni"],
  "fractional_positions": [[0.0000, 0.0000, 0.0000], [0.0000, 0.0000, 0.5000], [0.6667, 0.3333, 0.1353], [0.6667, 0.3333, 0.8647], [0.3333, 0.6667, 0.1523], [0.3333, 0.6667, 0.8477]]
}

No. 10
{
  "formula": "Re8P",
  "functional": "PBE-GGA",
  "state": "relaxed",
  "space_group": "No. 139",
  "delta_e_f_ev_per_fu": 1.28,
  "n_ef_per_ev_cell": 6.61,
  "dft_energy_ev_per_atom": -11.524,
  "cell": [[-4.1393, 4.1393, 1.9563], [4.1393, -4.1393, 1.9563], [4.1393, 4.1393, -1.9563]],
  "species": ["Re", "Re", "Re", "Re", "Re", "Re", "Re", "Re", "P"],
  "fractional_positions": [[0.0000, 0.3400, 0.3400], [0.0000, 0.6600, 0.6600], [0.3275, 0.3275, 0.6550], [0.3275, 0.6725, 0.0000], [0.3400, 0.0000, 0.3400], [0.6600, 0.0000, 0.6600], [0.6725, 0.3275, 0.0000], [0.6725, 0.6725, 0.3450], [0.0000, 0.0000, 0.0000]]
}

No. 11
{
  "formula": "SbBrCl2",
  "functional": "PBE-GGA",
  "state": "relaxed",
  "space_group": "No. 35",
  "n_ef_per_ev_cell": 3.08,
  "formation_energy_uncorrected_ev_per_atom": -0.0472,
  "dft_energy_ev_per_atom": -2.419,
  "e_above_lowest_polymorph_mev_per_atom": 726,
  "cell": [[1.8976, -3.1419, 0.0000], [1.8976, 3.1419, 0.0000], [0.0000, 0.0000, 10.2733]],
  "species": ["Sb", "Br", "Cl", "Cl"],
  "fractional_positions": [[0.0000, 0.0000, 0.0000], [0.5000, 0.5000, 0.7966], [0.0000, 0.0000, 0.5006], [0.5000, 0.5000, 0.1860]]
}

No. 12
{
  "formula": "Er3TmAg4S8",
  "functional": "PBE-GGA",
  "state": "relaxed",
  "space_group": "No. 12",
  "n_ef_per_ev_cell": 0.00,
  "formation_energy_uncorrected_ev_per_atom": -1.2823,
  "dft_energy_ev_per_atom": -5.194,
  "cell": [[6.5952, -3.9816, 0.0000], [6.5952, 3.9816, 0.0000], [-4.2297, 0.0000, 6.4735]],
  "species": ["Er", "Er", "Er", "Tm", "Ag", "Ag", "Ag", "Ag", "S", "S", "S", "S", "S", "S", "S", "S"],
  "fractional_positions": [[0.0000, 0.0000, 0.0000], [0.0000, 0.5000, 0.5000], [0.5000, 0.0000, 0.5000], [0.5000, 0.5000, 0.0000], [0.0000, 0.0000, 0.5000], [0.0000, 0.5000, 0.0000], [0.5000, 0.0000, 0.0000], [0.5000, 0.5000, 0.5000], [0.2463, 0.2463, 0.2554], [0.2472, 0.7457, 0.7561], [0.2543, 0.2543, 0.7455], [0.2543, 0.7528, 0.2439], [0.7457, 0.2472, 0.7561], [0.7457, 0.7457, 0.2545], [0.7528, 0.2543, 0.2439], [0.7537, 0.7537, 0.7446]]
}

No. 13
{
  "formula": "LiCaNdEu",
  "functional": "PBE-GGA",
  "state": "relaxed",
  "space_group": "No. 216",
  "delta_e_f_ev_per_fu": 0.75,
  "n_ef_per_ev_cell": 5.25,
  "dft_energy_ev_per_atom": -4.553,
  "cell": [[0.0000, 4.1107, 4.1107], [4.1107, 0.0000, 4.1107], [4.1107, 4.1107, 0.0000]],
  "species": ["Li", "Ca", "Nd", "Eu"],
  "fractional_positions": [[0.0000, 0.0000, 0.0000], [0.2500, 0.2500, 0.2500], [0.7500, 0.7500, 0.7500], [0.5000, 0.5000, 0.5000]]
}

No. 14
{
  "formula": "PaSnPd4",
  "functional": "PBE-GGA",
  "state": "relaxed",
  "space_group": "No. 11",
  "delta_e_f_ev_per_fu": -3.06,
  "n_ef_per_ev_cell": 8.53,
  "dft_energy_ev_per_atom": -6.222,
  "e_above_lowest_polymorph_mev_per_atom": 27,
  "cell": [[5.4493, 0.0000, 0.0000], [0.0000, 5.6917, 0.0000], [-2.4950, 0.0000, 7.2650]],
  "species": ["Pa", "Pa", "Sn", "Sn", "Pd", "Pd", "Pd", "Pd", "Pd", "Pd", "Pd", "Pd"],
  "fractional_positions": [[0.1834, 0.2500, 0.4953], [0.8166, 0.7500, 0.5047], [0.2238, 0.7500, 0.1794], [0.7762, 0.2500, 0.8206], [0.2044, 0.2500, 0.1356], [0.2691, 0.9998, 0.8302], [0.2691, 0.5002, 0.8302], [0.3559, 0.7500, 0.5572], [0.6441, 0.2500, 0.4428], [0.7309, 0.0002, 0.1698], [0.7309, 0.4998, 0.1698], [0.7956, 0.7500, 0.8644]]
}

No. 15
{
  "formula": "LaBiTeO6",
  "functional": "PBE-GGA",
  "state": "relaxed",
  "space_group": "No. 163",
  "n_ef_per_ev_cell": 0.00,
  "formation_energy_uncorrected_ev_per_atom": -1.7332,
  "dft_energy_ev_per_atom": -6.366,
  "cell": [[5.8527, 0.0000, 0.0000], [-2.9263, 5.0686, 0.0000], [0.0000, 0.0000, 9.2779]],
  "species": ["La", "La", "Bi", "Bi", "Te", "Te", "O", "O", "O", "O", "O", "O", "O", "O", "O", "O", "O", "O"],
  "fractional_positions": [[0.3333, 0.6667, 0.2500], [0.6667, 0.3333, 0.7500], [0.0000, 0.0000, 0.0000], [0.0000, 0.0000, 0.5000], [0.3333, 0.6667, 0.7500], [0.6667, 0.3333, 0.2500], [0.0584, 0.3833, 0.6318], [0.0584, 0.6751, 0.8682], [0.3249, 0.3833, 0.8682], [0.3249, 0.9416, 0.6318], [0.3833, 0.0584, 0.1318], [0.3833, 0.3249, 0.3682], [0.6167, 0.6751, 0.6318], [0.6167, 0.9416, 0.8682], [0.6751, 0.0584, 0.3682], [0.6751, 0.6167, 0.1318], [0.9416, 0.3249, 0.1318], [0.9416, 0.6167, 0.3682]]
}

No. 16
{
  "formula": "CsHg14Pb",
  "functional": "PBE-GGA",
  "state": "relaxed",
  "space_group": "No. 123",
  "delta_e_f_ev_per_fu": -0.62,
  "n_ef_per_ev_cell": 5.56,
  "dft_energy_ev_per_atom": -0.588,
  "cell": [[7.3345, 0.0000, 0.0000], [0.0000, 7.3345, 0.0000], [0.0000, 0.0000, 8.9868]],
  "species": ["Cs", "Hg", "Hg", "Hg", "Hg", "Hg", "Hg", "Hg", "Hg", "Hg", "Hg", "Hg", "Hg", "Hg", "Hg", "Pb"],
  "fractional_positions": [[0.0000, 0.0000, 0.0000], [0.0000, 0.0000, 0.5000], [0.0000, 0.5000, 0.0000], [0.0000, 0.5000, 0.5000], [0.2652, 0.2652, 0.2683], [0.2652, 0.2652, 0.7317], [0.2652, 0.7348, 0.2683], [0.2652, 0.7348, 0.7317], [0.5000, 0.0000, 0.0000], [0.5000, 0.0000, 0.5000], [0.5000, 0.5000, 0.5000], [0.7348, 0.2652, 0.2683], [0.7348, 0.2652, 0.7317], [0.7348, 0.7348, 0.2683], [0.7348, 0.7348, 0.7317], [0.5000, 0.5000, 0.0000]]
}

No. 17
{
  "formula": "TlBiN2F",
  "functional": "PBE-GGA",
  "state": "relaxed",
  "space_group": "No. 123",
  "n_ef_per_ev_cell": 2.04,
  "formation_energy_uncorrected_ev_per_atom": 0.5133,
  "dft_energy_ev_per_atom": -4.441,
  "e_above_lowest_polymorph_mev_per_atom": 0,
  "cell": [[4.4346, 0.0000, 0.0000], [0.0000, 4.4346, 0.0000], [0.0000, 0.0000, 4.6496]],
  "species": ["Tl", "Bi", "N", "N", "F"],
  "fractional_positions": [[0.0000, 0.0000, 0.0000], [0.5000, 0.5000, 0.5000], [0.0000, 0.5000, 0.5000], [0.5000, 0.0000, 0.5000], [0.5000, 0.5000, 0.0000]]
}

No. 18
{
  "formula": "Tb3Sm6Er2Sc",
  "functional": "PBE-GGA",
  "state": "relaxed",
  "space_group": "No. 12",
  "delta_e_f_ev_per_fu": 0.30,
  "n_ef_per_ev_cell": 14.50,
  "dft_energy_ev_per_atom": -4.780,
  "cell": [[3.0916, -5.3529, 0.0000], [3.0916, 5.3529, 0.0000], [-2.0540, 0.0000, 11.5421]],
  "species": ["Tb", "Tb", "Tb", "Sm", "Sm", "Sm", "Sm", "Sm", "Sm", "Er", "Er", "Sc"],
  "fractional_positions": [[0.0000, 0.0000, 0.0000], [0.3334, 0.6666, 0.0000], [0.6666, 0.3334, 0.0000], [0.0874, 0.4181, 0.2539], [0.2510, 0.2510, 0.7464], [0.4181, 0.0874, 0.2539], [0.5819, 0.9126, 0.7461], [0.7490, 0.7490, 0.2536], [0.9126, 0.5819, 0.7461], [0.1666, 0.8334, 0.5000], [0.8334, 0.1666, 0.5000], [0.5000, 0.5000, 0.5000]]
}

No. 19
{
  "formula": "Ho3As6Pd20",
  "functional": "PBE-GGA",
  "state": "relaxed",
  "space_group": "No. 225",
  "delta_e_f_ev_per_fu": -17.50,
  "n_ef_per_ev_cell": 21.38,
  "dft_energy_ev_per_atom": -5.620,
  "cell": [[0.0000, 6.2724, 6.2724], [6.2724, 0.0000, 6.2724], [6.2724, 6.2724, 0.0000]],
  "species": ["Ho", "Ho", "Ho", "As", "As", "As", "As", "As", "As", "Pd", "Pd", "Pd", "Pd", "Pd", "Pd", "Pd", "Pd", "Pd", "Pd", "Pd", "Pd", "Pd", "Pd", "Pd", "Pd", "Pd", "Pd", "Pd", "Pd"],
  "fractional_positions": [[0.0000, 0.0000, 0.0000], [0.2500, 0.2500, 0.2500], [0.7500, 0.7500, 0.7500], [0.2656, 0.2656, 0.7344], [0.2656, 0.7344, 0.2656], [0.2656, 0.7344, 0.7344], [0.7344, 0.2656, 0.2656], [0.7344, 0.2656, 0.7344], [0.7344, 0.7344, 0.2656], [0.0000, 0.0000, 0.3474], [0.0000, 0.0000, 0.6526], [0.0000, 0.3474, 0.0000], [0.0000, 0.3474, 0.6526], [0.0000, 0.6526, 0.0000], [0.0000, 0.6526, 0.3474], [0.1437, 0.6188, 0.6188], [0.3474, 0.0000, 0.0000], [0.3474, 0.0000, 0.6526], [0.3474, 0.6526, 0.0000], [0.3812, 0.3812, 0.3812], [0.3812, 0.3812, 0.8563], [0.3812, 0.8563, 0.3812], [0.6188, 0.1437, 0.6188], [0.6188, 0.6188, 0.1437], [0.6188, 0.6188, 0.6188], [0.6526, 0.0000, 0.0000], [0.6526, 0.0000, 0.3474], [0.6526, 0.3474, 0.0000], [0.8563, 0.3812, 0.3812]]
}

No. 20
{
  "formula": "Ho2CuGe3Ir4",
  "functional": "PBE-GGA",
  "state": "relaxed",
  "space_group": "No. 115",
  "delta_e_f_ev_per_fu": -6.71,
  "n_ef_per_ev_cell": 4.75,
  "dft_energy_ev_per_atom": -6.926,
  "cell": [[4.1307, 0.0000, 0.0000], [0.0000, 4.1307, 0.0000], [0.0000, 0.0000, 10.4134]],
  "species": ["Ho", "Ho", "Cu", "Ge", "Ge", "Ge", "Ir", "Ir", "Ir", "Ir"],
  "fractional_positions": [[0.0000, 0.5000, 0.2483], [0.5000, 0.0000, 0.7517], [0.5000, 0.5000, 0.0000], [0.0000, 0.0000, 0.0000], [0.0000, 0.5000, 0.6320], [0.5000, 0.0000, 0.3680], [0.0000, 0.0000, 0.5000], [0.0000, 0.5000, 0.8635], [0.5000, 0.0000, 0.1365], [0.5000, 0.5000, 0.5000]]
}

No. 21
{
  "formula": "Sm6YEr2Tm",
  "functional": "PBE-GGA",
  "state": "relaxed",
  "space_group": "No. 15",
  "delta_e_f_ev_per_fu": 1.16,
  "n_ef_per_ev_cell": 27.42,
  "dft_energy_ev_per_atom": -4.721,
  "cell": [[4.5744, -7.6110, 0.0000], [4.5744, 7.6110, 0.0000], [-1.1840, 0.0000, 9.4905]],
  "species": ["Sm", "Sm", "Sm", "Sm", "Sm", "Sm", "Sm", "Sm", "Sm", "Sm", "Sm", "Sm", "Y", "Y", "Er", "Er", "Er", "Er", "Tm", "Tm"],
  "fractional_positions": [[0.0126, 0.5647, 0.1869], [0.1220, 0.7593, 0.5538], [0.2407, 0.8780, 0.9462], [0.2901, 0.5059, 0.3814], [0.4353, 0.9874, 0.3131], [0.4941, 0.7099, 0.1186], [0.5059, 0.2901, 0.8814], [0.5647, 0.0126, 0.6869], [0.7099, 0.4941, 0.6186], [0.7593, 0.1220, 0.0538], [0.8780, 0.2407, 0.4462], [0.9874, 0.4353, 0.8131], [0.0255, 0.9745, 0.2500], [0.9745, 0.0255, 0.7500], [0.2008, 0.3043, 0.0450], [0.3043, 0.2008, 0.5450], [0.6957, 0.7992, 0.4550], [0.7992, 0.6957, 0.9550], [0.4111, 0.5889, 0.7500], [0.5889, 0.4111, 0.2500]]
}